Material: Tb7Ga2Ni2
Method: DFT, PBE
State: optimized geometry

```
data_Tb7Ga2Ni2
_cell_length_a 7.6999
_cell_length_b 10.9699
_cell_length_c 6.8301
_cell_angle_alpha 90.00
_cell_angle_beta 90.00
_cell_angle_gamma 90.00
_symmetry_space_group_name_H-M 'C m m m'
_symmetry_Int_Tables_number 65
_symmetry_space_group_name_Hall '-C 2 2'
loop_
_atom_site_label
_atom_site_type_symbol
_atom_site_fract_x
_atom_site_fract_y
_atom_site_fract_z
_atom_site_occupancy
Tb1 Tb 0.0000 0.0000 0.0000 1
Tb2 Tb 0.0000 0.5000 0.2494 1
Tb3 Tb 0.2500 0.2500 0.2545 1
Ga1 Ga 0.1652 0.0000 0.5000 1
Ni1 Ni 0.0000 0.2968 0.0000 1
```

Output
As for the magnetic moment: 0.000 μB per atom. The theoretical density comes out at 7883 kg/m³. Its formation energy is -0.25 eV per atom. The calculation puts the calculated total energy at -4.80 eV/atom.